a | {"formula": "Sm2Nb", "functional": "PBE", "state": "optimized geometry", "lattice": [[0.000, 5.981, 5.981], [5.981, 0.000, 5.981], [5.981, 5.981, 0.000]], "species": ["Sm", "Sm", "Sm", "Sm", "Nb", "Nb"], "fractional_positions": [[0.000, 0.000, 0.000], [0.000, 0.000, 0.500], [0.000, 0.500, 0.000], [0.500, 0.000, 0.000], [0.125, 0.125, 0.125], [0.875, 0.875, 0.875]], "space_group": "Fd-3m", "mass_density_g_cm3": 3.1}


b | {"formula": "Sm2Nb", "functional": "PBE", "state": "optimized geometry", "lattice": [[0.000, 4.326, 4.326], [4.326, 0.000, 4.326], [4.326, 4.326, 0.000]], "species": ["Sm", "Sm", "Sm", "Sm", "Nb", "Nb"], "fractional_positions": [[0.000, 0.000, 0.000], [0.000, 0.000, 0.500], [0.000, 0.500, 0.000], [0.500, 0.000, 0.000], [0.375, 0.375, 0.375], [0.625, 0.625, 0.625]], "space_group": "Fd-3m", "mass_density_g_cm3": 8.1}


Which is the most stable structure? b is the most stable.


a | {"formula": "SmTaNb", "functional": "PBE", "state": "optimized geometry", "lattice": [[6.662, 0.000, 0.000], [0.000, 6.662, 0.000], [0.000, 0.000, 6.662]], "species": ["Sm", "Sm", "Sm", "Sm", "Ta", "Ta", "Ta", "Ta", "Nb", "Nb", "Nb", "Nb"], "fractional_positions": [[0.000, 0.000, 0.000], [0.000, 0.500, 0.500], [0.500, 0.000, 0.500], [0.500, 0.500, 0.000], [0.000, 0.000, 0.500], [0.000, 0.500, 0.000], [0.500, 0.000, 0.000], [0.500, 0.500, 0.500], [0.250, 0.250, 0.250], [0.250, 0.750, 0.750], [0.750, 0.250, 0.750], [0.750, 0.750, 0.250]], "space_group": "F-43m", "mass_density_g_cm3": 9.5}


b | {"formula": "SmTaNb", "functional": "PBE", "state": "optimized geometry", "lattice": [[6.644, 0.000, 0.000], [0.000, 6.644, 0.000], [0.000, 0.000, 6.644]], "species": ["Sm", "Sm", "Sm", "Sm", "Ta", "Ta", "Ta", "Ta", "Nb", "Nb", "Nb", "Nb"], "fractional_positions": [[0.000, 0.000, 0.000], [0.000, 0.500, 0.500], [0.500, 0.000, 0.500], [0.500, 0.500, 0.000], [0.250, 0.250, 0.250], [0.250, 0.750, 0.750], [0.750, 0.250, 0.750], [0.750, 0.750, 0.250], [0.250, 0.250, 0.750], [0.250, 0.750, 0.250], [0.750, 0.250, 0.250], [0.750, 0.750, 0.750]], "space_group": "F-43m", "mass_density_g_cm3": 9.6}


Which is the most stable structure? a is the most stable.


a | {"formula": "SmNbW", "functional": "PBE", "state": "optimized geometry", "lattice": [[6.574, 0.000, 0.000], [0.000, 6.574, 0.000], [0.000, 0.000, 6.574]], "species": ["Sm", "Sm", "Sm", "Sm", "Nb", "Nb", "Nb", "Nb", "W", "W", "W", "W"], "fractional_positions": [[0.000, 0.000, 0.000], [0.000, 0.500, 0.500], [0.500, 0.000, 0.500], [0.500, 0.500, 0.000], [0.000, 0.000, 0.500], [0.000, 0.500, 0.000], [0.500, 0.000, 0.000], [0.500, 0.500, 0.500], [0.250, 0.250, 0.750], [0.250, 0.750, 0.250], [0.750, 0.250, 0.250], [0.750, 0.750, 0.750]], "space_group": "F-43m", "mass_density_g_cm3": 10.0}


b | {"formula": "SmNbW", "functional": "PBE", "state": "optimized geometry", "lattice": [[6.550, 0.000, 0.000], [0.000, 6.550, 0.000], [0.000, 0.000, 6.550]], "species": ["Sm", "Sm", "Sm", "Sm", "Nb", "Nb", "Nb", "Nb", "W", "W", "W", "W"], "fractional_positions": [[0.000, 0.000, 0.000], [0.000, 0.500, 0.500], [0.500, 0.000, 0.500], [0.500, 0.500, 0.000], [0.250, 0.250, 0.750], [0.250, 0.750, 0.250], [0.750, 0.250, 0.250], [0.750, 0.750, 0.750], [0.250, 0.250, 0.250], [0.250, 0.750, 0.750], [0.750, 0.250, 0.750], [0.750, 0.750, 0.250]], "space_group": "F-43m", "mass_density_g_cm3": 10.1}


Which is the most stable structure? a is the most stable.


a | {"formula": "SmZrNb", "functional": "PBE", "state": "optimized geometry", "lattice": [[6.802, 0.000, 0.000], [0.000, 6.802, 0.000], [0.000, 0.000, 6.802]], "species": ["Sm", "Sm", "Sm", "Sm", "Zr", "Zr", "Zr", "Zr", "Nb", "Nb", "Nb", "Nb"], "fractional_positions": [[0.000, 0.000, 0.000], [0.000, 0.500, 0.500], [0.500, 0.000, 0.500], [0.500, 0.500, 0.000], [0.250, 0.250, 0.250], [0.250, 0.750, 0.750], [0.750, 0.250, 0.750], [0.750, 0.750, 0.250], [0.250, 0.250, 0.750], [0.250, 0.750, 0.250], [0.750, 0.250, 0.250], [0.750, 0.750, 0.750]], "space_group": "F-43m", "mass_density_g_cm3": 7.1}


b | {"formula": "SmZrNb", "functional": "PBE", "state": "optimized geometry", "lattice": [[6.842, 0.000, 0.000], [0.000, 6.842, 0.000], [0.000, 0.000, 6.842]], "species": ["Sm", "Sm", "Sm", "Sm", "Zr", "Zr", "Zr", "Zr", "Nb", "Nb", "Nb", "Nb"], "fractional_positions": [[0.000, 0.000, 0.000], [0.000, 0.500, 0.500], [0.500, 0.000, 0.500], [0.500, 0.500, 0.000], [0.000, 0.000, 0.500], [0.000, 0.500, 0.000], [0.500, 0.000, 0.000], [0.500, 0.500, 0.500], [0.250, 0.250, 0.250], [0.250, 0.750, 0.750], [0.750, 0.250, 0.750], [0.750, 0.750, 0.250]], "space_group": "F-43m", "mass_density_g_cm3": 6.9}


Which is the most stable structure? b is the most stable.


a | {"formula": "NbTlSn", "functional": "PBE", "state": "optimized geometry", "lattice": [[6.855, 0.000, 0.000], [0.000, 6.855, 0.000], [0.000, 0.000, 6.855]], "species": ["Nb", "Nb", "Nb", "Nb", "Tl", "Tl", "Tl", "Tl", "Sn", "Sn", "Sn", "Sn"], "fractional_positions": [[0.000, 0.000, 0.000], [0.000, 0.500, 0.500], [0.500, 0.000, 0.500], [0.500, 0.500, 0.000], [0.000, 0.000, 0.500], [0.000, 0.500, 0.000], [0.500, 0.000, 0.000], [0.500, 0.500, 0.500], [0.250, 0.250, 0.250], [0.250, 0.750, 0.750], [0.750, 0.250, 0.750], [0.750, 0.750, 0.250]], "space_group": "F-43m", "mass_density_g_cm3": 8.6}


b | {"formula": "NbTlSn", "functional": "PBE", "state": "optimized geometry", "lattice": [[6.815, 0.000, 0.000], [0.000, 6.815, 0.000], [0.000, 0.000, 6.815]], "species": ["Nb", "Nb", "Nb", "Nb", "Tl", "Tl", "Tl", "Tl", "Sn", "Sn", "Sn", "Sn"], "fractional_positions": [[0.000, 0.000, 0.000], [0.000, 0.500, 0.500], [0.500, 0.000, 0.500], [0.500, 0.500, 0.000], [0.250, 0.250, 0.250], [0.250, 0.750, 0.750], [0.750, 0.250, 0.750], [0.750, 0.750, 0.250], [0.250, 0.250, 0.750], [0.250, 0.750, 0.250], [0.750, 0.250, 0.250], [0.750, 0.750, 0.750]], "space_group": "F-43m", "mass_density_g_cm3": 8.7}


Which is the most stable structure? b is the most stable.


a | {"formula": "SrNb", "functional": "PBE", "state": "optimized geometry", "lattice": [[7.642, 0.000, 0.000], [0.000, 7.642, 0.000], [0.000, 0.000, 7.642]], "species": ["Sr", "Sr", "Sr", "Sr", "Nb", "Nb", "Nb", "Nb"], "fractional_positions": [[0.000, 0.000, 0.000], [0.000, 0.500, 0.500], [0.500, 0.000, 0.500], [0.500, 0.500, 0.000], [0.250, 0.250, 0.250], [0.250, 0.750, 0.750], [0.750, 0.250, 0.750], [0.750, 0.750, 0.250]], "space_group": "F-43m", "mass_density_g_cm3": 2.7}


b | {"formula": "SrNb", "functional": "PBE", "state": "optimized geometry", "lattice": [[3.267, 0.000, 0.000], [-1.633, 2.829, 0.000], [0.000, 0.000, 5.720]], "species": ["Sr", "Nb"], "fractional_positions": [[0.000, 0.000, 0.000], [0.333, 0.667, 0.500]], "space_group": "P-6m2", "mass_density_g_cm3": 5.7}


c | {"formula": "SrNb", "functional": "PBE", "state": "optimized geometry", "lattice": [[6.522, 0.000, 0.000], [0.000, 6.522, 0.000], [0.000, 0.000, 6.522]], "species": ["Sr", "Sr", "Sr", "Sr", "Nb", "Nb", "Nb", "Nb"], "fractional_positions": [[0.000, 0.000, 0.000], [0.000, 0.500, 0.500], [0.500, 0.000, 0.500], [0.500, 0.500, 0.000], [0.000, 0.000, 0.500], [0.000, 0.500, 0.000], [0.500, 0.000, 0.000], [0.500, 0.500, 0.500]], "space_group": "Fm-3m", "mass_density_g_cm3": 4.3}


Which is the most stable structure? b is the most stable.


a | {"formula": "Sr2Nb", "functional": "PBE", "state": "optimized geometry", "lattice": [[0.000, 7.388, 7.388], [7.388, 0.000, 7.388], [7.388, 7.388, 0.000]], "species": ["Sr", "Sr", "Sr", "Sr", "Nb", "Nb"], "fractional_positions": [[0.000, 0.000, 0.000], [0.000, 0.000, 0.500], [0.000, 0.500, 0.000], [0.500, 0.000, 0.000], [0.125, 0.125, 0.125], [0.875, 0.875, 0.875]], "space_group": "Fd-3m", "mass_density_g_cm3": 1.1}


b | {"formula": "Sr2Nb", "functional": "PBE", "state": "optimized geometry", "lattice": [[0.000, 4.837, 4.837], [4.837, 0.000, 4.837], [4.837, 4.837, 0.000]], "species": ["Sr", "Sr", "Sr", "Sr", "Nb", "Nb"], "fractional_positions": [[0.000, 0.000, 0.000], [0.000, 0.000, 0.500], [0.000, 0.500, 0.000], [0.500, 0.000, 0.000], [0.375, 0.375, 0.375], [0.625, 0.625, 0.625]], "space_group": "Fd-3m", "mass_density_g_cm3": 3.9}


Which is the most stable structure? b is the most stable.